w.
The following is a DFT calculation (meta-GGA SCAN) of a PBEsol-optimized structure of SnPCl9.

Summary:
Space-group type: P-1, No. 2

The structure in POSCAR format:
```
SnPCl9
1.0
7.146 0.000 0.000
-0.610 9.100 0.000
-1.052 -1.809 9.206
Sn P Cl
2 2 18
Cartesian
0.572 0.985 1.610 Sn
4.912 6.307 7.596 Sn
2.265 1.547 6.641 P
3.219 5.744 2.565 P
-1.018 5.333 5.749 Cl
0.288 2.996 0.345 Cl
0.080 7.952 2.718 Cl
-0.069 7.169 8.697 Cl
0.792 2.831 6.716 Cl
1.659 4.855 3.334 Cl
1.732 0.060 5.506 Cl
2.795 1.550 2.298 Cl
2.786 6.367 0.772 Cl
2.698 0.924 8.434 Cl
2.689 5.741 6.908 Cl
3.752 7.231 3.700 Cl
3.825 2.436 5.872 Cl
4.692 4.460 2.490 Cl
5.553 0.123 0.508 Cl
5.404 -0.660 6.487 Cl
5.196 4.295 8.861 Cl
6.502 1.958 3.456 Cl
```

=====

x.
The following is a DFT calculation (meta-GGA SCAN) of a PBEsol-optimized structure of SnPCl9.

Summary:
Space-group type: Cmme, No. 67

The structure in POSCAR format:
```
SnPCl9
1.0
5.976 -8.286 0.000
5.976 8.286 0.000
0.000 0.000 6.398
Sn P Cl
2 2 18
Cartesian
5.976 4.143 5.770 Sn
5.976 -4.143 0.628 Sn
2.988 0.000 3.199 P
8.963 0.000 3.199 P
3.912 4.143 4.653 Cl
1.863 1.118 4.338 Cl
5.976 6.588 5.783 Cl
1.863 -1.118 2.060 Cl
5.976 4.143 1.729 Cl
4.113 1.118 2.060 Cl
5.976 1.698 5.783 Cl
4.113 -1.118 4.338 Cl
8.039 4.143 4.653 Cl
3.912 -4.143 1.745 Cl
7.838 1.118 2.060 Cl
5.976 -1.698 0.614 Cl
7.838 -1.118 4.338 Cl
5.976 -4.143 4.669 Cl
10.088 1.118 4.338 Cl
5.976 -6.588 0.614 Cl
10.088 -1.118 2.060 Cl
8.039 -4.143 1.745 Cl
```

=====

Taking the most stable structure as the zero point, the relative energies in meV per atom are w 0; x 8.

=====

w.
The following is a DFT calculation (meta-GGA SCAN) of a PBEsol-optimized structure of SrP2Cl.

Summary:
Space-group type: P4/mmm, No. 123

The structure in POSCAR format:
```
SrP2Cl
1.0
4.351 0.000 0.000
0.000 4.351 0.000
0.000 0.000 5.585
Sr P Cl
1 2 1
Cartesian
0.000 0.000 0.000 Sr
2.176 2.176 1.012 P
2.176 2.176 4.573 P
0.000 0.000 2.793 Cl
```

=====

x.
The following is a DFT calculation (meta-GGA SCAN) of a PBEsol-optimized structure of SrP2Cl.

Summary:
Space-group type: Pm, No. 6

The structure in POSCAR format:
```
SrP2Cl
1.0
3.947 0.000 0.000
0.000 3.535 0.000
-1.396 0.000 6.847
Sr P Cl
1 2 1
Cartesian
0.000 0.000 0.000 Sr
-0.726 1.768 4.488 P
0.608 0.000 4.263 P
1.975 1.768 1.155 Cl
```

=====

y.
The following is a DFT calculation (meta-GGA SCAN) of a PBEsol-optimized structure of SrP2Cl.

Summary:
Space-group type: F-43m, No. 216

The structure in POSCAR format:
```
SrP2Cl
1.0
0.000 3.488 3.488
3.488 0.000 3.488
3.488 3.488 0.000
Sr P Cl
1 2 1
Cartesian
0.000 0.000 0.000 Sr
3.488 3.488 3.488 P
5.232 5.232 5.232 P
1.744 1.744 1.744 Cl
```

=====

z.
The following is a DFT calculation (meta-GGA SCAN) of a PBEsol-optimized structure of SrP2Cl.

Summary:
Space-group type: P2/m, No. 10

The structure in POSCAR format:
```
SrP2Cl
1.0
3.545 0.000 0.000
0.000 5.955 0.000
-0.139 0.000 4.536
Sr P Cl
1 2 1
Cartesian
0.000 0.000 0.000 Sr
0.742 2.977 3.851 P
2.664 2.977 0.685 P
1.703 0.000 2.268 Cl
```

=====

Taking the most stable structure as the zero point, the relative energies in meV per atom are w 301; x 0; y 779; z 39.

=====

w.
The following is a DFT calculation (meta-GGA SCAN) of a PBEsol-optimized structure of TcP2Cl.

Summary:
Space-group type: Immm, No. 71

The structure in POSCAR format:
```
TcP2Cl
1.0
-1.408 2.182 5.089
1.408 -2.182 5.089
1.408 2.182 -5.089
Tc P Cl
1 2 1
Cartesian
0.000 0.000 0.000 Tc
1.408 0.000 1.992 P
0.000 2.182 3.097 P
0.000 0.000 5.089 Cl
```

=====

x.
The following is a DFT calculation (meta-GGA SCAN) of a PBEsol-optimized structure of TcP2Cl.

Summary:
Space-group type: Cmm2, No. 35

The structure in POSCAR format:
```
TcP2Cl
1.0
1.438 -2.595 0.000
1.438 2.595 0.000
0.000 0.000 8.599
Tc P Cl
1 2 1
Cartesian
0.000 0.000 0.000 Tc
0.000 0.000 4.873 P
1.438 0.000 6.701 P
1.438 0.000 1.895 Cl
```

=====

y.
The following is a DFT calculation (meta-GGA SCAN) of a PBEsol-optimized structure of TcP2Cl.

Summary:
Space-group type: C2/m, No. 12

The structure in POSCAR format:
```
TcP2Cl
1.0
3.634 -1.502 0.000
3.634 1.502 0.000
-2.674 0.000 6.752
Tc P Cl
1 2 1
Cartesian
0.000 0.000 0.000 Tc
2.138 0.000 1.072 P
2.456 0.000 5.680 P
2.297 0.000 3.376 Cl
```

=====

Taking the most stable structure as the zero point, the relative energies in meV per atom are w 630; x 692; y 0.

=====

w.
The following is a DFT calculation (meta-GGA SCAN) of a PBEsol-optimized structure of TcPCl2.

Summary:
Space-group type: Imm2, No. 44

The structure in POSCAR format:
```
TcPCl2
1.0
-1.500 2.260 5.503
1.500 -2.260 5.503
1.500 2.260 -5.503
Tc P Cl
1 1 2
Cartesian
0.000 0.000 0.000 Tc
0.000 2.260 3.795 P
1.500 0.000 2.051 Cl
0.000 0.000 5.386 Cl
```

=====

x.
The following is a DFT calculation (meta-GGA SCAN) of a PBEsol-optimized structure of TcPCl2.

Summary:
Space-group type: Fm-3m, No. 225

The structure in POSCAR format:
```
TcPCl2
1.0
0.000 3.089 3.089
3.089 0.000 3.089
3.089 3.089 0.000
Tc P Cl
1 1 2
Cartesian
0.000 0.000 0.000 Tc
3.089 3.089 3.089 P
1.545 1.545 1.545 Cl
4.634 4.634 4.634 Cl
```

=====

y.
The following is a DFT calculation (meta-GGA SCAN) of a PBEsol-optimized structure of TcPCl2.

Summary:
Space-group type: P4/mmm, No. 123

The structure in POSCAR format:
```
TcPCl2
1.0
4.354 0.000 0.000
0.000 4.354 0.000
0.000 0.000 3.116
Tc P Cl
1 1 2
Cartesian
0.000 0.000 0.000 Tc
2.177 2.177 0.000 P
0.000 2.177 1.558 Cl
2.177 0.000 1.558 Cl
```

=====

z.
The following is a DFT calculation (meta-GGA SCAN) of a PBEsol-optimized structure of TcPCl2.

Summary:
Space-group type: P4mm, No. 99

The structure in POSCAR format:
```
TcPCl2
1.0
3.092 0.000 0.000
0.000 3.092 0.000
0.000 0.000 8.133
Tc P Cl
1 1 2
Cartesian
0.000 0.000 0.000 Tc
1.546 1.546 7.205 P
0.000 0.000 2.236 Cl
1.546 1.546 5.165 Cl
```

=====

Taking the most stable structure as the zero point, the relative energies in meV per atom are w 483; x 1344; y 1516; z 0.

=====

w.
The following is a DFT calculation (meta-GGA SCAN) of a PBEsol-optimized structure of PWCl2.

Summary:
Space-group type: Cmmm, No. 65

The structure in POSCAR format:
```
PWCl2
1.0
2.339 -6.616 0.000
2.339 6.616 0.000
0.000 0.000 3.063
P W Cl
1 1 2
Cartesian
0.000 0.000 0.000 P
2.339 0.000 0.000 W
2.339 1.885 1.532 Cl
2.339 -1.885 1.532 Cl
```

=====

x.
The following is a DFT calculation (meta-GGA SCAN) of a PBEsol-optimized structure of PWCl2.

Summary:
Space-group type: Cmmm, No. 65

The structure in POSCAR format:
```
PWCl2
1.0
2.750 -4.063 0.000
2.750 4.063 0.000
0.000 0.000 2.814
P W Cl
1 1 2
Cartesian
0.000 0.000 0.000 P
2.750 0.000 0.000 W
1.375 2.032 1.407 Cl
1.375 -2.032 1.407 Cl
```

=====

y.
The following is a DFT calculation (meta-GGA SCAN) of a PBEsol-optimized structure of PWCl2.

Summary:
Space-group type: Immm, No. 71

The structure in POSCAR format:
```
PWCl2
1.0
-1.474 2.021 6.949
1.474 -2.021 6.949
1.474 2.021 -6.949
P W Cl
1 1 2
Cartesian
0.000 0.000 0.000 P
0.000 0.000 6.949 W
1.474 0.000 4.899 Cl
0.000 2.021 2.051 Cl
```

=====

Taking the most stable structure as the zero point, the relative energies in meV per atom are w 0; x 1484; y 164.